## LiLa2AgCl (PBE-GGA)

Data for a relaxed structure of LiLa2AgCl.

Cell lengths 5.4737, 5.4737, 5.1498 Å; angles 90.00, 90.00, 90.00 degrees
Closest atoms and distances in Å follow each position.
Space group P4/mmm (No. 123)
Inequivalent atoms, fractional coordinates:
Li  0.0000  0.0000  0.0000 x1  8 La 3.76, 4 Ag 3.87
La  0.0000  0.5000  0.5000 x2  2 Cl 2.74
Ag  0.5000  0.5000  0.0000 x1  2 Cl 2.57
Cl  0.5000  0.5000  0.5000 x1  2 Ag 2.57, 4 La 2.74

Calculated values
* volume: 30.859 A^3/atom
* electronic total energy: -3.503 eV/atom
* N(E_F): 6.4 states/eV per cell